A plane-wave DFT calculation with PBE-GGA was carried out for Tl4AgSb3S8 after structural relaxation.

Summary:
The total energy comes out at -61.5 eV for the cell shown. As for the volume: 24.78 Å³ per atom. Its space-group type is R-3m (166). The spin magnetization is 0.00 μB/f.u.

POSCAR file:
```
Tl4AgSb3S8
1.0
4.0449 2.3353 6.9945
-4.0449 2.3353 6.9945
0.0000 -4.6706 6.9945
Tl Ag Sb S
4 1 3 8
direct
0.0000 0.0000 0.0000
0.0000 0.5000 0.5000
0.5000 0.0000 0.5000
0.5000 0.5000 0.0000
0.5000 0.5000 0.5000
0.0000 0.0000 0.5000
0.0000 0.5000 0.0000
0.5000 0.0000 0.0000
0.2345 0.7397 0.7397
0.2379 0.2379 0.2379
0.2603 0.2603 0.7655
0.2603 0.7655 0.2603
0.7397 0.2345 0.7397
0.7397 0.7397 0.2345
0.7621 0.7621 0.7621
0.7655 0.2603 0.2603
```

***

A plane-wave DFT calculation with PBE-GGA was carried out for ZnTe2P after structural relaxation.

Summary:
The total energy comes out at -11.6 eV for the cell shown. The calculation puts the energy above the most stable polymorph in this dataset at 1.20 eV/f.u. As for the volume: 29.56 Å³ per atom. Its space-group type is R-3m (166). The spin magnetization is 0.00 μB/f.u.

POSCAR file:
```
ZnTe2P
1.0
1.9845 1.1458 8.6675
-1.9845 1.1458 8.6675
0.0000 -2.2915 8.6675
Zn Te P
1 2 1
direct
0.0000 0.0000 0.0000
0.1035 0.1035 0.1035
0.8965 0.8965 0.8965
0.5000 0.5000 0.5000
```

***

A plane-wave DFT calculation with PBE-GGA was carried out for Hf5VTc4 after structural relaxation.

Summary:
The total energy comes out at -103.9 eV for the cell shown. As for the formation enthalpy at 0 K: -0.3590 eV/atom. As for the volume: 17.57 Å³ per atom. Its space-group type is P4/mmm (123). The spin magnetization is 2.21 μB/f.u.

POSCAR file:
```
Hf5VTc4
1.0
3.2785 0.0000 0.0000
0.0000 3.2785 0.0000
0.0000 0.0000 16.3507
Hf V Tc
5 1 4
direct
0.0000 0.0000 0.0000
0.0000 0.0000 0.1985
0.0000 0.0000 0.3954
0.0000 0.0000 0.6046
0.0000 0.0000 0.8015
0.5000 0.5000 0.5000
0.5000 0.5000 0.0997
0.5000 0.5000 0.3010
0.5000 0.5000 0.6990
0.5000 0.5000 0.9003
```

***

A plane-wave DFT calculation with PBE-GGA was carried out for Mg2Si3 after structural relaxation.

Summary:
The total energy comes out at -75.4 eV for the cell shown. The calculation puts the energy above the most stable polymorph in this dataset at 0.47 eV/f.u. As for the volume: 18.33 Å³ per atom. Its space-group type is Cm (8). The spin magnetization is 0.00 μB/f.u.

POSCAR file:
```
Mg2Si3
1.0
5.8337 -1.7865 0.0000
5.8337 1.7865 0.0000
-4.3215 0.0000 17.5841
Mg Si
8 12
direct
0.0000 0.0000 0.0000
0.0480 0.0480 0.6589
0.5061 0.5061 0.3986
0.5961 0.5961 0.2561
0.6590 0.6590 0.9105
0.7450 0.7450 0.7572
0.8633 0.8633 0.5018
0.9149 0.9149 0.1469
0.1621 0.1621 0.1522
0.1795 0.1795 0.5255
0.2017 0.2017 0.3913
0.3169 0.3169 0.6557
0.3178 0.3178 0.0227
0.3395 0.3395 0.8892
0.3488 0.3488 0.2532
0.5007 0.5007 0.7610
0.5557 0.5557 0.5471
0.6840 0.6840 0.0637
0.8203 0.8203 0.3437
0.9728 0.9728 0.8480
```

***

A plane-wave DFT calculation with PBE-GGA was carried out for PmNdPt6 after structural relaxation.

Summary:
The total energy comes out at -50.3 eV for the cell shown. As for the formation enthalpy at 0 K: -0.5662 eV/atom. As for the volume: 19.54 Å³ per atom. Its space-group type is Pm-3 (200). The spin magnetization is 0.00 μB/f.u.

POSCAR file:
```
PmNdPt6
1.0
5.3867 0.0000 0.0000
0.0000 5.3867 0.0000
0.0000 0.0000 5.3867
Pm Nd Pt
1 1 6
direct
0.0000 0.0000 0.0000
0.5000 0.5000 0.5000
0.0000 0.2495 0.5000
0.0000 0.7505 0.5000
0.2495 0.5000 0.0000
0.5000 0.0000 0.2495
0.5000 0.0000 0.7505
0.7505 0.5000 0.0000
```

***

A plane-wave DFT calculation with PBE-GGA was carried out for Li2ZrPbSe after structural relaxation.

Summary:
The total energy comes out at -22.2 eV for the cell shown. As for the volume: 22.26 Å³ per atom. Its space-group type is P4/mmm (123). The spin magnetization is 0.00 μB/f.u.

POSCAR file:
```
Li2ZrPbSe
1.0
4.5889 0.0000 0.0000
0.0000 4.5889 0.0000
0.0000 0.0000 5.2845
Li Zr Pb Se
2 1 1 1
direct
0.0000 0.5000 0.0000
0.5000 0.0000 0.0000
0.0000 0.0000 0.5000
0.5000 0.5000 0.5000
0.0000 0.0000 0.0000
```

***

no.,ρ (g/cm³)
1,6.48
2,4.94
3,12.62
4,2.41
5,15.51
6,5.84